A relaxed LaMg2PtN crystal, computed with PBE.

Calculated values
Calculated total energy   -5.29 eV/atom
Density   7.112 g/cm3
Formation energy without anion corrections   -77 kJ/mol of atoms

abc: 4.2146 4.2146 5.2134
angles: 90.00 90.00 90.00
Space group P4/mmm (No. 123)
One atom of each set of equivalent atoms:
La 0.0000 0.0000 0.0000 [1 per cell]
Mg 0.0000 0.5000 0.5000 [2 per cell]
Pt 0.5000 0.5000 0.0000 [1 per cell]
N 0.0000 0.0000 0.5000 [1 per cell]